[1]
Density functional theory data (GGA-PBE) for an optimized crystal structure of Sn5SbAu4.

Calculated values
electronic total energy	-3.7936	eV/atom
formation energy from raw total energies	-1.59	kcal/mol of atoms

Cell and atoms, written as POSCAR:
```
Sn5SbAu4
1.0
-3.387 -2.911 -0.607
4.509 -4.416 -3.982
2.526 -1.075 7.793
Sn Sb Au
5 1 4
Cartesian
4.533 -4.979 -1.420
2.582 -3.144 0.672
1.066 -5.258 2.531
0.561 -3.664 -2.295
-0.885 -3.424 4.624
-1.694 -1.456 -0.304
1.960 -5.707 -0.303
1.176 -1.233 -0.648
1.688 -2.696 3.506
2.473 -7.170 3.851
```


[2]
Density functional theory data (GGA-PBE) for an optimized crystal structure of Sn3SbAu6.

Calculated values
electronic total energy	-3.5925	eV/atom
formation energy from raw total energies	-0.30	kcal/mol of atoms
distance to the lowest polymorph of the same formula	11.3	meV/atom

Cell and atoms, written as POSCAR:
```
Sn3SbAu6
1.0
-3.848 4.387 2.931
-4.614 -7.899 5.766
2.519 2.988 6.109
Sn Sb Au
6 2 12
Cartesian
-3.549 -0.222 6.413
-6.268 -1.707 12.342
-3.015 0.204 3.011
-2.961 -0.786 11.838
-4.435 -3.798 10.945
-1.716 -2.312 5.016
-3.126 3.255 5.573
-2.155 -2.646 8.406
-2.457 3.046 2.748
-3.148 1.923 10.796
-3.232 3.694 8.449
-5.064 -2.708 8.352
-5.309 1.719 5.007
-4.251 -0.128 9.160
-0.566 1.530 4.240
-1.466 -3.669 10.841
-1.290 1.479 6.969
-3.121 -4.923 6.872
-0.734 1.081 1.435
-1.424 -0.042 9.483
```


What is the formation energy from raw total energies in the first record? -1.59 kcal/mol of atoms


Look up the electronic total energy of the second one. -3.5925 eV/atom


The highest electronic total energy belongs to which entry? Sn3SbAu6


Among the records above, which one has the lowest electronic total energy? Sn5SbAu4